<a>
Here is an optimized crystal structure of Sr2Zr2Pd from Alexandria via LeMat-Bulk. Energies are from PBE-GGA.

Properties
ρ, Mg/m³: 4.86
Crystal system: tetragonal

Cell lengths 3.918, 3.918, 10.688 Å; angles 79.44, 79.44, 90.00 degrees
Fractional coordinates of all 5 atoms:
Sr  0.412  0.412  0.175
Sr  0.588  0.588  0.825
Zr  0.750  0.250  0.500
Zr  0.250  0.750  0.500
Pd  0.000  0.000  0.000

=====

<b>
Here is an optimized crystal structure of Sr2Zr2Pd from Alexandria via LeMat-Bulk. Energies are from PBE-GGA.

Properties
ρ, Mg/m³: 5.35
Crystal system: tetragonal

Cell lengths 4.195, 4.195, 8.707 Å; angles 76.06, 76.06, 90.00 degrees
Fractional coordinates of all 5 atoms:
Sr  0.750  0.250  0.500
Sr  0.250  0.750  0.500
Zr  0.425  0.425  0.150
Zr  0.575  0.575  0.850
Pd  0.000  0.000  0.000

=====

Which of them is most stable, and which least? Most stable: <a>; least stable: <b>.

=====

<a>
Here is an optimized crystal structure of SrZr2Pd2 from Alexandria via LeMat-Bulk. Energies are from PBE-GGA.

Properties
ρ, Mg/m³: 7.35
Crystal system: tetragonal

Cell lengths 8.522, 8.522, 3.004 Å; angles 90.00, 90.00, 90.00 degrees
Fractional coordinates of all 10 atoms:
Sr  0.000  0.000  0.000
Sr  0.500  0.500  0.000
Zr  0.372  0.872  0.000
Zr  0.872  0.628  0.000
Zr  0.628  0.128  0.000
Zr  0.128  0.372  0.000
Pd  0.167  0.667  0.500
Pd  0.667  0.833  0.500
Pd  0.833  0.333  0.500
Pd  0.333  0.167  0.500

=====

<b>
Here is an optimized crystal structure of SrZr2Pd2 from Alexandria via LeMat-Bulk. Energies are from PBE-GGA.

Properties
ρ, Mg/m³: 7.15
Crystal system: tetragonal

Cell lengths 8.214, 8.214, 3.325 Å; angles 90.00, 90.00, 90.00 degrees
Fractional coordinates of all 10 atoms:
Sr  0.000  0.000  0.000
Sr  0.500  0.500  0.000
Zr  0.156  0.656  0.500
Zr  0.656  0.844  0.500
Zr  0.844  0.344  0.500
Zr  0.344  0.156  0.500
Pd  0.374  0.874  0.000
Pd  0.874  0.626  0.000
Pd  0.626  0.126  0.000
Pd  0.126  0.374  0.000

=====

Which of them is most stable, and which least? Most stable: <a>; least stable: <b>.

=====

<a>
Here is an optimized crystal structure of SrZr3Pd from Alexandria via LeMat-Bulk. Energies are from PBE-GGA.

Properties
ρ, Mg/m³: 5.42
Crystal system: cubic

Cell lengths 5.232, 5.232, 5.232 Å; angles 90.00, 90.00, 90.00 degrees
Site moments in Bohr magnetons follow the coordinates.
Fractional coordinates of all 5 atoms:
Sr  0.500  0.500  0.500  0.03
Zr  0.000  0.500  0.000  0.12
Zr  0.000  0.000  0.500  0.06
Zr  0.500  0.000  0.000  0.17
Pd  0.000  0.000  0.000  0.01

=====

<b>
Here is an optimized crystal structure of SrZr3Pd from Alexandria via LeMat-Bulk. Energies are from PBE-GGA.

Properties
ρ, Mg/m³: 5.95
Crystal system: cubic

Cell lengths 5.072, 5.072, 5.072 Å; angles 90.00, 90.00, 90.00 degrees
Site moments in Bohr magnetons follow the coordinates.
Fractional coordinates of all 5 atoms:
Sr  0.000  0.000  0.000  0.06
Zr  0.000  0.500  0.000  0.10
Zr  0.000  0.000  0.500  0.11
Zr  0.500  0.000  0.000  0.07
Pd  0.500  0.500  0.500  0.01

=====

Which of them is most stable, and which least? Most stable: <a>; least stable: <b>.

=====

<a>
Here is an optimized crystal structure of TaPd4 from Alexandria via LeMat-Bulk. Energies are from PBE-GGA.

Properties
ρ, Mg/m³: 10.88
Crystal system: tetragonal

Cell lengths 5.016, 5.110, 5.016 Å; angles 119.39, 90.00, 119.39 degrees
Fractional coordinates of all 5 atoms:
Ta  0.000  0.000  0.000
Pd  0.250  0.500  0.750
Pd  0.750  0.500  0.250
Pd  0.666  0.331  0.666
Pd  0.334  0.669  0.334

=====

<b>
Here is an optimized crystal structure of TaPd4 from Alexandria via LeMat-Bulk. Energies are from PBE-GGA.

Properties
ρ, Mg/m³: 11.84
Crystal system: monoclinic

Cell lengths 5.220, 4.531, 7.664 Å; angles 110.14, 90.00, 90.00 degrees
Fractional coordinates of all 10 atoms:
Ta  0.000  0.000  0.000
Ta  0.500  0.000  0.500
Pd  0.500  0.109  0.186
Pd  0.000  0.891  0.314
Pd  0.500  0.891  0.814
Pd  0.000  0.109  0.686
Pd  0.757  0.500  0.500
Pd  0.257  0.500  0.000
Pd  0.243  0.500  0.500
Pd  0.743  0.500  0.000

=====

<c>
Here is an optimized crystal structure of TaPd4 from Alexandria via LeMat-Bulk. Energies are from PBE-GGA.

Properties
ρ, Mg/m³: 9.23
Crystal system: cubic

Cell lengths 4.779, 4.779, 4.779 Å; angles 90.00, 90.00, 90.00 degrees
Fractional coordinates of all 5 atoms:
Pd  0.000  0.000  0.000
Pd  0.500  0.000  0.500
Pd  0.000  0.500  0.500
Pd  0.500  0.500  0.000
Ta  0.500  0.500  0.500

=====

Which of them is most stable, and which least? Most stable: <b>; least stable: <c>.

=====

<a>
Here is an optimized crystal structure of TaTe3Pd from Alexandria via LeMat-Bulk. Energies are from PBE-GGA.

Properties
ρ, Mg/m³: 7.34
Crystal system: orthorhombic

Cell lengths 3.698, 6.653, 12.771 Å; angles 105.10, 90.00, 90.00 degrees
Fractional coordinates of all 10 atoms:
Ta  0.250  0.120  0.660
Ta  0.750  0.460  0.340
Te  0.750  0.891  0.746
Te  0.750  0.553  0.142
Te  0.750  0.238  0.521
Te  0.250  0.410  0.858
Te  0.250  0.145  0.254
Te  0.250  0.717  0.479
Pd  0.250  0.751  0.277
Pd  0.750  0.474  0.723

=====

<b>
Here is an optimized crystal structure of TaTe3Pd from Alexandria via LeMat-Bulk. Energies are from PBE-GGA.

Properties
ρ, Mg/m³: 8.15
Crystal system: cubic

Cell lengths 5.149, 5.149, 5.149 Å; angles 90.00, 90.00, 90.00 degrees
Fractional coordinates of all 5 atoms:
Te  0.000  0.500  0.000
Te  0.000  0.000  0.500
Te  0.500  0.000  0.000
Pd  0.000  0.000  0.000
Ta  0.500  0.500  0.500

=====

<c>
Here is an optimized crystal structure of TaTe3Pd from Alexandria via LeMat-Bulk. Energies are from PBE-GGA.

Properties
ρ, Mg/m³: 8.64
Crystal system: triclinic

Cell lengths 7.014, 6.683, 7.207 Å; angles 64.31, 64.48, 62.02 degrees
Fractional coordinates of all 10 atoms:
Ta  0.366  0.325  0.007
Ta  0.634  0.675  0.993
Te  0.744  0.418  0.723
Te  0.052  0.748  0.804
Te  0.431  0.091  0.725
Te  0.256  0.582  0.277
Te  0.948  0.252  0.196
Te  0.569  0.909  0.275
Pd  0.853  0.860  0.494
Pd  0.147  0.140  0.506

=====

<d>
Here is an optimized crystal structure of TaTe3Pd from Alexandria via LeMat-Bulk. Energies are from PBE-GGA.

Properties
ρ, Mg/m³: 7.15
Crystal system: cubic

Cell lengths 5.378, 5.378, 5.378 Å; angles 90.00, 90.00, 90.00 degrees
Fractional coordinates of all 5 atoms:
Te  0.000  0.500  0.000
Te  0.000  0.000  0.500
Te  0.500  0.000  0.000
Pd  0.500  0.500  0.500
Ta  0.000  0.000  0.000

=====

Which of them is most stable, and which least? Most stable: <a>; least stable: <b>.

=====

<a>
Here is an optimized crystal structure of TaTePd3 from Alexandria via LeMat-Bulk. Energies are from PBE-GGA.

Properties
ρ, Mg/m³: 8.88
Crystal system: cubic

Cell lengths 4.897, 4.897, 4.897 Å; angles 90.00, 90.00, 90.00 degrees
Fractional coordinates of all 5 atoms:
Te  0.500  0.500  0.500
Pd  0.000  0.500  0.000
Pd  0.000  0.000  0.500
Pd  0.500  0.000  0.000
Ta  0.000  0.000  0.000

=====

<b>
Here is an optimized crystal structure of TaTePd3 from Alexandria via LeMat-Bulk. Energies are from PBE-GGA.

Properties
ρ, Mg/m³: 9.09
Crystal system: cubic

Cell lengths 4.858, 4.858, 4.858 Å; angles 90.00, 90.00, 90.00 degrees
Site moments in Bohr magnetons follow the coordinates.
Fractional coordinates of all 5 atoms:
Te  0.000  0.000  0.000  -0.01
Pd  0.000  0.500  0.000  -0.01
Pd  0.000  0.000  0.500  0.02
Pd  0.500  0.000  0.000  0.00
Ta  0.500  0.500  0.500  1.77

=====

Which of them is most stable, and which least? Most stable: <a>; least stable: <b>.